# Mo2AsPd GGA-PBE relaxed
# E, eV per atom: -7.5706
data_Mo2AsPd
_chemical_formula_sum 'Mo8 As4 Pd4'
_cell_length_a 6.311
_cell_length_b 6.311
_cell_length_c 6.311
_cell_angle_alpha 90.00
_cell_angle_beta 90.00
_cell_angle_gamma 90.00
_space_group_name_H-M_alt 'F -4 3 m'
_space_group_IT_number 216
_space_group_name_Hall 'F -4 2 3'
loop_
_atom_site_label
_atom_site_type_symbol
_atom_site_fract_x
_atom_site_fract_y
_atom_site_fract_z
Mo1 Mo 0.000 0.000 0.000
Mo2 Mo 0.250 0.250 0.250
As1 As 0.000 0.000 0.500
Pd1 Pd 0.250 0.250 0.750


# PmMoAs GGA-PBE relaxed
# E, eV per atom: -6.7475
# Energy relative to the lowest polymorph listed for this composition, meV/atom: 0
data_PmMoAs
_chemical_formula_sum 'Pm4 Mo4 As4'
_cell_length_a 6.484
_cell_length_b 6.484
_cell_length_c 6.484
_cell_angle_alpha 90.00
_cell_angle_beta 90.00
_cell_angle_gamma 90.00
_space_group_name_H-M_alt 'F -4 3 m'
_space_group_IT_number 216
_space_group_name_Hall 'F -4 2 3'
loop_
_atom_site_label
_atom_site_type_symbol
_atom_site_fract_x
_atom_site_fract_y
_atom_site_fract_z
Pm1 Pm 0.000 0.000 0.000
Mo1 Mo 0.000 0.000 0.500
As1 As 0.250 0.250 0.750


# PmMoAs GGA-PBE relaxed
# E, eV per atom: -5.8235
# Energy relative to the lowest polymorph listed for this composition, meV/atom: 924
data_PmMoAs
_chemical_formula_sum 'Pm4 Mo4 As4'
_cell_length_a 6.866
_cell_length_b 6.866
_cell_length_c 6.866
_cell_angle_alpha 90.00
_cell_angle_beta 90.00
_cell_angle_gamma 90.00
_space_group_name_H-M_alt 'F -4 3 m'
_space_group_IT_number 216
_space_group_name_Hall 'F -4 2 3'
loop_
_atom_site_label
_atom_site_type_symbol
_atom_site_fract_x
_atom_site_fract_y
_atom_site_fract_z
Pm1 Pm 0.000 0.000 0.000
Mo1 Mo 0.250 0.250 0.250
As1 As 0.250 0.250 0.750


# MoAs2Pt GGA-PBE relaxed
# E, eV per atom: -6.1988
data_MoAs2Pt
_chemical_formula_sum 'Mo4 As8 Pt4'
_cell_length_a 6.439
_cell_length_b 6.439
_cell_length_c 6.439
_cell_angle_alpha 90.00
_cell_angle_beta 90.00
_cell_angle_gamma 90.00
_space_group_name_H-M_alt 'F -4 3 m'
_space_group_IT_number 216
_space_group_name_Hall 'F -4 2 3'
loop_
_atom_site_label
_atom_site_type_symbol
_atom_site_fract_x
_atom_site_fract_y
_atom_site_fract_z
Mo1 Mo 0.000 0.000 0.000
As1 As 0.000 0.000 0.500
As2 As 0.250 0.250 0.250
Pt1 Pt 0.250 0.250 0.750


# MoAsPt2 GGA-PBE relaxed
# E, eV per atom: -6.9111
data_MoAsPt2
_chemical_formula_sum 'Mo4 As4 Pt8'
_cell_length_a 6.315
_cell_length_b 6.315
_cell_length_c 6.315
_cell_angle_alpha 90.00
_cell_angle_beta 90.00
_cell_angle_gamma 90.00
_space_group_name_H-M_alt 'F -4 3 m'
_space_group_IT_number 216
_space_group_name_Hall 'F -4 2 3'
loop_
_atom_site_label
_atom_site_type_symbol
_atom_site_fract_x
_atom_site_fract_y
_atom_site_fract_z
Mo1 Mo 0.000 0.000 0.000
As1 As 0.250 0.250 0.750
Pt1 Pt 0.000 0.000 0.500
Pt2 Pt 0.250 0.250 0.250


# MoAsPt GGA-PBE relaxed
# E, eV per atom: -7.1441
data_MoAsPt
_chemical_formula_sum 'Mo4 As4 Pt4'
_cell_length_a 5.913
_cell_length_b 5.913
_cell_length_c 5.913
_cell_angle_alpha 90.00
_cell_angle_beta 90.00
_cell_angle_gamma 90.00
_space_group_name_H-M_alt 'F -4 3 m'
_space_group_IT_number 216
_space_group_name_Hall 'F -4 2 3'
loop_
_atom_site_label
_atom_site_type_symbol
_atom_site_fract_x
_atom_site_fract_y
_atom_site_fract_z
Mo1 Mo 0.000 0.000 0.000
As1 As 0.250 0.250 0.250
Pt1 Pt 0.000 0.000 0.500


# PuMoAs GGA-PBE relaxed
# E, eV per atom: -9.1812
data_PuMoAs
_chemical_formula_sum 'Pu4 Mo4 As4'
_cell_length_a 6.301
_cell_length_b 6.301
_cell_length_c 6.301
_cell_angle_alpha 90.00
_cell_angle_beta 90.00
_cell_angle_gamma 90.00
_space_group_name_H-M_alt 'F -4 3 m'
_space_group_IT_number 216
_space_group_name_Hall 'F -4 2 3'
loop_
_atom_site_label
_atom_site_type_symbol
_atom_site_fract_x
_atom_site_fract_y
_atom_site_fract_z
Pu1 Pu 0.000 0.000 0.000
Mo1 Mo 0.250 0.250 0.250
As1 As 0.250 0.250 0.750


# RbMoAs GGA-PBE relaxed
# E, eV per atom: -4.3522
# Energy relative to the lowest polymorph listed for this composition, meV/atom: 0
data_RbMoAs
_chemical_formula_sum 'Rb4 Mo4 As4'
_cell_length_a 7.145
_cell_length_b 7.145
_cell_length_c 7.145
_cell_angle_alpha 90.00
_cell_angle_beta 90.00
_cell_angle_gamma 90.00
_space_group_name_H-M_alt 'F -4 3 m'
_space_group_IT_number 216
_space_group_name_Hall 'F -4 2 3'
loop_
_atom_site_label
_atom_site_type_symbol
_atom_site_fract_x
_atom_site_fract_y
_atom_site_fract_z
Rb1 Rb 0.000 0.000 0.000
Mo1 Mo 0.000 0.000 0.500
As1 As 0.250 0.250 0.750


# RbMoAs GGA-PBE relaxed
# E, eV per atom: -3.6368
# Energy relative to the lowest polymorph listed for this composition, meV/atom: 715
data_RbMoAs
_chemical_formula_sum 'Rb4 Mo4 As4'
_cell_length_a 7.322
_cell_length_b 7.322
_cell_length_c 7.322
_cell_angle_alpha 90.00
_cell_angle_beta 90.00
_cell_angle_gamma 90.00
_space_group_name_H-M_alt 'F -4 3 m'
_space_group_IT_number 216
_space_group_name_Hall 'F -4 2 3'
loop_
_atom_site_label
_atom_site_type_symbol
_atom_site_fract_x
_atom_site_fract_y
_atom_site_fract_z
Rb1 Rb 0.000 0.000 0.000
Mo1 Mo 0.250 0.250 0.250
As1 As 0.250 0.250 0.750


# ReMoAs GGA-PBE relaxed
# E, eV per atom: -8.6246
data_ReMoAs
_chemical_formula_sum 'Re4 Mo4 As4'
_cell_length_a 5.878
_cell_length_b 5.878
_cell_length_c 5.878
_cell_angle_alpha 90.00
_cell_angle_beta 90.00
_cell_angle_gamma 90.00
_space_group_name_H-M_alt 'F -4 3 m'
_space_group_IT_number 216
_space_group_name_Hall 'F -4 2 3'
loop_
_atom_site_label
_atom_site_type_symbol
_atom_site_fract_x
_atom_site_fract_y
_atom_site_fract_z
Re1 Re 0.000 0.000 0.000
Mo1 Mo 0.000 0.000 0.500
As1 As 0.250 0.250 0.750


# ReMo2As GGA-PBE relaxed
# E, eV per atom: -9.3658
data_ReMo2As
_chemical_formula_sum 'Re4 Mo8 As4'
_cell_length_a 6.261
_cell_length_b 6.261
_cell_length_c 6.261
_cell_angle_alpha 90.00
_cell_angle_beta 90.00
_cell_angle_gamma 90.00
_space_group_name_H-M_alt 'F -4 3 m'
_space_group_IT_number 216
_space_group_name_Hall 'F -4 2 3'
loop_
_atom_site_label
_atom_site_type_symbol
_atom_site_fract_x
_atom_site_fract_y
_atom_site_fract_z
Re1 Re 0.000 0.000 0.000
Mo1 Mo 0.000 0.000 0.500
Mo2 Mo 0.250 0.250 0.250
As1 As 0.250 0.250 0.750


# ReMoAs3 GGA-PBE relaxed
# E, eV per atom: -7.5947
data_ReMoAs3
_chemical_formula_sum 'Re4 Mo4 As12'
_cell_length_a 13.472
_cell_length_b 3.228
_cell_length_c 9.704
_cell_angle_alpha 90.00
_cell_angle_beta 125.26
_cell_angle_gamma 90.00
_space_group_name_H-M_alt 'C 1 2/m 1'
_space_group_IT_number 12
loop_
_space_group_symop_operation_xyz
'x,y,z'
'-x,-y,-z'
'-x,y,-z'
'x,-y,z'
'x+1/2,y+1/2,z'
'-x+1/2,-y+1/2,-z'
'-x+1/2,y+1/2,-z'
'x+1/2,-y+1/2,z'
loop_
_atom_site_label
_atom_site_type_symbol
_atom_site_fract_x
_atom_site_fract_y
_atom_site_fract_z
Re1 Re 0.249 0.000 0.374
Mo1 Mo 0.148 0.500 0.868
As1 As 0.086 0.500 0.315
As2 As 0.106 0.000 0.632
As3 As 0.124 0.000 0.050


Question: Which value of E does entry 4 give?
Answer: -6.1988 eV per atom